(1)
Computed, not measured: TaCrIr2 after structural relaxation at the PBEsol level of DFT.

Calculated values
E_form = -0.2515 eV per atom
Energy above the most stable polymorph in this dataset = 162 meV/atom

abc: 8.974 2.761 4.707
angles: 90.00 99.55 90.00
Sites, in units of the cell vectors:
Ta: 0.000 0.000 0.000
Ta: 0.500 0.500 0.000
Cr: 0.237 0.000 0.698
Cr: 0.737 0.500 0.698
Ir: 0.000 0.500 0.514
Ir: 0.251 0.500 0.229
Ir: 0.500 0.000 0.514
Ir: 0.751 0.000 0.229

(2)
Computed, not measured: Sr4GaCN5 after structural relaxation at the PBEsol level of DFT.

Calculated values
Formation energy without anion corrections = -0.82 eV per atom

abc: 13.447 7.376 7.374
angles: 90.00 98.02 90.00
Sites, in units of the cell vectors:
Sr: 0.022 0.249 0.496
Sr: 0.022 0.251 0.996
Sr: 0.180 0.531 0.784
Sr: 0.180 0.969 0.284
Sr: 0.329 0.156 0.668
Sr: 0.329 0.344 0.168
Sr: 0.355 0.680 0.517
Sr: 0.355 0.820 0.017
Sr: 0.645 0.180 0.983
Sr: 0.645 0.320 0.483
Sr: 0.671 0.656 0.832
Sr: 0.671 0.844 0.332
Sr: 0.820 0.031 0.716
Sr: 0.820 0.469 0.216
Sr: 0.978 0.749 0.004
Sr: 0.978 0.751 0.504
Ga: 0.144 0.518 0.292
Ga: 0.144 0.982 0.792
Ga: 0.856 0.018 0.208
Ga: 0.856 0.482 0.708
C: 0.454 0.054 0.297
C: 0.454 0.446 0.797
C: 0.546 0.554 0.203
C: 0.546 0.946 0.703
N: 0.003 0.506 0.257
N: 0.003 0.994 0.757
N: 0.219 0.654 0.141
N: 0.219 0.846 0.641
N: 0.222 0.141 0.959
N: 0.222 0.359 0.459
N: 0.376 0.005 0.357
N: 0.376 0.495 0.857
N: 0.474 0.607 0.276
N: 0.474 0.893 0.776
N: 0.526 0.107 0.224
N: 0.526 0.393 0.724
N: 0.624 0.505 0.143
N: 0.624 0.995 0.643
N: 0.778 0.641 0.541
N: 0.778 0.859 0.041
N: 0.781 0.154 0.359
N: 0.781 0.346 0.859
N: 0.997 0.006 0.243
N: 0.997 0.494 0.743

The calculation returns the following calculated volume values, one per record and in order: 115.03 724.32 Å³/cell.